# 1
# Mn2AlSi | the Alexandria database | SCAN | single point on PBEsol structure
# Calculated volume, Å³/cell: 47
# Raw formation energy, eV/atom: -0.40
# Total energy, eV for the cell shown: -55.89
# M_tot, μB per cell: 4.2
data_Mn2AlSi
_chemical_formula_sum 'Mn2 Al1 Si1'
_cell_length_a 2.6809
_cell_length_b 2.6809
_cell_length_c 6.6044
_cell_angle_alpha 90.00
_cell_angle_beta 90.00
_cell_angle_gamma 90.00
_symmetry_space_group_name_H-M 'P 4/m m m'
_symmetry_Int_Tables_number 123
_symmetry_space_group_name_Hall '-P 4 2'
loop_
_atom_site_label
_atom_site_fract_x
_atom_site_fract_y
_atom_site_fract_z
_atom_site_occupancy
Mn1 0.0000 0.0000 0.2287 1
Al1 0.5000 0.5000 0.5000 1
Si1 0.5000 0.5000 0.0000 1

***

# 2
# MnAl2Si | the Alexandria database | SCAN | single point on PBEsol structure
# Calculated volume, Å³/cell: 52
# Raw formation energy, eV/atom: -0.11
# Total energy, eV for the cell shown: -44.21
# M_tot, μB per cell: 0.0
data_MnAl2Si
_chemical_formula_sum 'Mn1 Al2 Si1'
_cell_length_a 3.1856
_cell_length_b 3.1856
_cell_length_c 5.1035
_cell_angle_alpha 90.00
_cell_angle_beta 90.00
_cell_angle_gamma 90.00
_symmetry_space_group_name_H-M 'P 4/m m m'
_symmetry_Int_Tables_number 123
_symmetry_space_group_name_Hall '-P 4 2'
loop_
_atom_site_label
_atom_site_fract_x
_atom_site_fract_y
_atom_site_fract_z
_atom_site_occupancy
Mn1 0.0000 0.0000 0.0000 1
Al1 0.5000 0.5000 0.2402 1
Si1 0.0000 0.0000 0.5000 1

***

# 3
# Mn2AlSi | the Alexandria database | SCAN | single point on PBEsol structure
# Calculated volume, Å³/cell: 95
# Raw formation energy, eV/atom: -0.42
# Total energy, eV for the cell shown: -111.92
# M_tot, μB per cell: 8.9
data_Mn2AlSi
_chemical_formula_sum 'Mn4 Al2 Si2'
_cell_length_a 3.7331
_cell_length_b 3.7331
_cell_length_c 6.7971
_cell_angle_alpha 90.00
_cell_angle_beta 90.00
_cell_angle_gamma 90.00
_symmetry_space_group_name_H-M 'I 4/m m m'
_symmetry_Int_Tables_number 139
_symmetry_space_group_name_Hall '-I 4 2'
loop_
_atom_site_label
_atom_site_fract_x
_atom_site_fract_y
_atom_site_fract_z
_atom_site_occupancy
Mn1 0.0000 0.5000 0.2500 1
Al1 0.0000 0.0000 0.0000 1
Si1 0.0000 0.0000 0.5000 1

***

# 4
# MnAlSi2 | the Alexandria database | SCAN | single point on PBEsol structure
# Calculated volume, Å³/cell: 105
# Raw formation energy, eV/atom: 0.01
# Total energy, eV for the cell shown: -92.03
# M_tot, μB per cell: 1.5
data_MnAlSi2
_chemical_formula_sum 'Mn2 Al2 Si4'
_cell_length_a 3.9443
_cell_length_b 3.0071
_cell_length_c 8.8538
_cell_angle_alpha 90.00
_cell_angle_beta 90.00
_cell_angle_gamma 90.00
_symmetry_space_group_name_H-M 'A m m 2'
_symmetry_Int_Tables_number 38
loop_
_symmetry_equiv_pos_as_xyz
'x,y,z'
'-x,-y,z'
'-x,y,z'
'x,-y,z'
'x,y+1/2,z+1/2'
'-x,-y+1/2,z+1/2'
'-x,y+1/2,z+1/2'
'x,-y+1/2,z+1/2'
loop_
_atom_site_label
_atom_site_fract_x
_atom_site_fract_y
_atom_site_fract_z
_atom_site_occupancy
Mn1 0.0000 0.0000 0.0000 1
Al1 0.5000 0.0000 0.3998 1
Si1 0.0000 0.0000 0.7189 1
Si2 0.5000 0.0000 0.1290 1

***

# 5
# MnAl2Si | the Alexandria database | SCAN | single point on PBEsol structure
# Calculated volume, Å³/cell: 164
# Raw formation energy, eV/atom: -0.02
# Total energy, eV for the cell shown: -131.55
# M_tot, μB per cell: 7.9
data_MnAl2Si
_chemical_formula_sum 'Mn3 Al6 Si3'
_cell_length_a 2.7698
_cell_length_b 2.7698
_cell_length_c 24.7151
_cell_angle_alpha 90.00
_cell_angle_beta 90.00
_cell_angle_gamma 120.00
_symmetry_space_group_name_H-M 'R -3 m'
_symmetry_Int_Tables_number 166
_symmetry_space_group_name_Hall '-R 3 2"'
loop_
_atom_site_label
_atom_site_fract_x
_atom_site_fract_y
_atom_site_fract_z
_atom_site_occupancy
Mn1 0.0000 0.0000 0.0000 1
Al1 0.0000 0.0000 0.2549 1
Si1 0.0000 0.0000 0.5000 1

***

# 6
# Mn2AlSi | the Alexandria database | SCAN | single point on PBEsol structure
# Calculated volume, Å³/cell: 96
# Raw formation energy, eV/atom: -0.41
# Total energy, eV for the cell shown: -111.82
# M_tot, μB per cell: 10.6
data_Mn2AlSi
_chemical_formula_sum 'Mn4 Al2 Si2'
_cell_length_a 3.5252
_cell_length_b 3.5252
_cell_length_c 7.7636
_cell_angle_alpha 90.00
_cell_angle_beta 90.00
_cell_angle_gamma 90.00
_symmetry_space_group_name_H-M 'I -4 m 2'
_symmetry_Int_Tables_number 119
_symmetry_space_group_name_Hall 'I -4 -2'
loop_
_atom_site_label
_atom_site_fract_x
_atom_site_fract_y
_atom_site_fract_z
_atom_site_occupancy
Mn1 0.0000 0.0000 0.0000 1
Mn2 0.0000 0.5000 0.2500 1
Al1 0.0000 0.5000 0.7500 1
Si1 0.0000 0.0000 0.5000 1

***

# 7
# Mn2AlSi | the Alexandria database | SCAN | single point on PBEsol structure
# Calculated volume, Å³/cell: 144
# Raw formation energy, eV/atom: -0.22
# Total energy, eV for the cell shown: -165.48
# M_tot, μB per cell: 13.0
data_Mn2AlSi
_chemical_formula_sum 'Mn6 Al3 Si3'
_cell_length_a 2.6356
_cell_length_b 2.6356
_cell_length_c 23.8730
_cell_angle_alpha 90.00
_cell_angle_beta 90.00
_cell_angle_gamma 120.00
_symmetry_space_group_name_H-M 'R -3 m'
_symmetry_Int_Tables_number 166
_symmetry_space_group_name_Hall '-R 3 2"'
loop_
_atom_site_label
_atom_site_fract_x
_atom_site_fract_y
_atom_site_fract_z
_atom_site_occupancy
Mn1 0.0000 0.0000 0.2464 1
Al1 0.0000 0.0000 0.0000 1
Si1 0.0000 0.0000 0.5000 1

***

# 8
# Mn2AlSi | the Alexandria database | SCAN | single point on PBEsol structure
# Calculated volume, Å³/cell: 95
# Raw formation energy, eV/atom: -0.40
# Total energy, eV for the cell shown: -111.74
# M_tot, μB per cell: 8.7
data_Mn2AlSi
_chemical_formula_sum 'Mn4 Al2 Si2'
_cell_length_a 5.2958
_cell_length_b 6.7281
_cell_length_c 2.6571
_cell_angle_alpha 90.00
_cell_angle_beta 90.00
_cell_angle_gamma 90.00
_symmetry_space_group_name_H-M 'C m m m'
_symmetry_Int_Tables_number 65
_symmetry_space_group_name_Hall '-C 2 2'
loop_
_atom_site_label
_atom_site_fract_x
_atom_site_fract_y
_atom_site_fract_z
_atom_site_occupancy
Mn1 0.2500 0.2500 0.0000 1
Al1 0.0000 0.0000 0.5000 1
Si1 0.0000 0.5000 0.5000 1